The following is a DFT calculation (PBE-GGA) of a relaxed GdAs2O crystal.

Summary:
total energy = -5.114 eV per atom
relative energy among the computed polymorphs = 1.029 eV per atom

```
GdAs2O
1.0
-0.485 0.123 4.673
-1.349 -4.502 -0.021
6.851 -2.057 0.765
As O Gd
4 2 2
direct
0.500 0.000 0.946
0.500 0.000 0.289
0.000 0.500 0.711
0.000 0.500 0.054
0.500 0.500 0.000
0.000 0.000 0.000
0.000 0.000 0.500
0.500 0.500 0.500
```


The following is a DFT calculation (PBE-GGA) of a relaxed GdAs2O crystal.

Summary:
total energy = -6.139 eV per atom
relative energy among the computed polymorphs = 0.004 eV per atom

```
GdAs2O
1.0
-0.365 1.024 3.757
-3.463 -1.812 0.157
4.627 -8.601 2.795
Gd As O
2 4 2
direct
0.750 0.750 0.888
0.250 0.250 0.112
0.750 0.250 0.500
0.750 0.750 0.287
0.250 0.250 0.713
0.250 0.750 0.500
0.250 0.750 0.000
0.750 0.250 0.000
```


The following is a DFT calculation (PBE-GGA) of a relaxed GdAsPO crystal.

Summary:
total energy = -6.192 eV per atom
relative energy among the computed polymorphs = 0.119 eV per atom

```
GdAsPO
1.0
5.075 0.000 0.000
0.000 6.790 0.000
0.000 0.000 6.166
O As P Gd
2 2 2 2
direct
0.500 0.070 0.793
0.500 0.930 0.293
0.000 0.685 0.555
0.000 0.315 0.055
0.000 0.628 0.923
0.000 0.372 0.423
0.500 0.821 0.983
0.500 0.179 0.483
```


Among the records above, which one has the lowest total energy?
GdAsPO